DFT (GGA-PBE) results for a relaxed structure of CaAc6Ru3.

Cell: 4.2778 13.2012 13.2536 Å, 103.24 90.00 90.00°
With the nearest neighbours (Å) after each atom.
Fractional positions:
Ca: 0.7500 0.0286 0.6348  6 Ac 3.85-4.18, 4 Ca 4.08-4.28
Ca: 0.2500 0.9714 0.3652  6 Ac 3.85-4.18, 4 Ca 4.08-4.28
Ac: 0.7500 0.5212 0.6334  4 Ru 2.90-3.07
Ac: 0.2500 0.4788 0.3666  4 Ru 2.90-3.07
Ac: 0.7500 0.9337 0.0947  3 Ru 2.95-3.08
Ac: 0.2500 0.0663 0.9053  3 Ru 2.95-3.08
Ac: 0.7500 0.3862 0.0421  4 Ru 3.00-3.20
Ac: 0.2500 0.6138 0.9579  4 Ru 3.00-3.20
Ac: 0.7500 0.6718 0.2452  3 Ru 2.95-3.09
Ac: 0.2500 0.3282 0.7548  3 Ru 2.95-3.09
Ac: 0.7500 0.2321 0.4680  2 Ru 2.76
Ac: 0.2500 0.7679 0.5320  2 Ru 2.76
Ac: 0.7500 0.7970 0.8029  2 Ru 2.84
Ac: 0.2500 0.2030 0.1971  2 Ru 2.84
Ru: 0.7500 0.4785 0.8385  6 Ac 2.90-3.20
Ru: 0.2500 0.5215 0.1615  6 Ac 2.90-3.20
Ru: 0.7500 0.6365 0.4677  6 Ac 2.76-3.09
Ru: 0.2500 0.3635 0.5323  6 Ac 2.76-3.09
Ru: 0.7500 0.1540 0.0532  6 Ac 2.84-3.10
Ru: 0.2500 0.8460 0.9468  6 Ac 2.84-3.10

Output
* mass density: 7.77 g cm⁻³
* total magnetic moment: 0.0 μB/cell
* final energy: -5.5500 eV per atom
* SG: P2_1/m (11)
* formation energy from the elements: -1.0 eV/f.u.